Here is a relaxed ZrTl2Pb crystal from the Alexandria database. Energies are from GGA-PBE.

Computed properties:
For the energy above the lowest structure with this stoichiometry, the calculation gives 86 meV per atom. The calculation puts the calculated total energy at -4.134 eV per atom. The symmetry is No. 139. The theoretical density is 11.42 g/cm3.

Unit cell a=6.0698 b=6.0698 c=6.0698 alpha=136.99 beta=136.99 gamma=62.46
Sites, in units of the cell vectors:
1 Zr 0.0000 0.0000 0.0000
2 Tl 0.2500 0.7500 0.5000
3 Tl 0.7500 0.2500 0.5000
4 Pb 0.5000 0.5000 0.0000

Here is a relaxed Tb2Si4Ni3 crystal from the Alexandria database. Energies are from GGA-PBE.

Computed properties:
The calculation puts the calculated total energy at -6.078 eV per atom. The symmetry is No. 64. The theoretical density is 7.38 g/cm3.

Unit cell a=7.6404 b=7.6404 c=7.0998 alpha=90.00 beta=90.00 gamma=138.84
Sites, in units of the cell vectors:
1 Tb 0.1074 0.8926 0.9019
2 Tb 0.3926 0.6074 0.4019
3 Tb 0.6074 0.3926 0.5981
4 Tb 0.8926 0.1074 0.0981
5 Si 0.1822 0.8178 0.5149
6 Si 0.1857 0.3143 0.7500
7 Si 0.3143 0.1857 0.2500
8 Si 0.3178 0.6822 0.0149
9 Si 0.6822 0.3178 0.9851
10 Si 0.6857 0.8143 0.7500
11 Si 0.8143 0.6857 0.2500
12 Si 0.8178 0.1822 0.4851
13 Ni 0.0000 0.0000 0.5000
14 Ni 0.0222 0.4778 0.7500
15 Ni 0.4778 0.0222 0.2500
16 Ni 0.5000 0.5000 0.0000
17 Ni 0.5222 0.9778 0.7500
18 Ni 0.9778 0.5222 0.2500

Here is a relaxed KCo4Re crystal from the Alexandria database. Energies are from GGA-PBE.

Computed properties:
The calculation puts the calculated total energy at -5.991 eV per atom. The symmetry is No. 216. The theoretical density is 8.98 g/cm3.

Unit cell a=4.9403 b=4.9403 c=4.9403 alpha=60.00 beta=60.00 gamma=60.00
Sites, in units of the cell vectors:
1 K 0.0000 0.0000 0.0000
2 Co 0.3772 0.3772 0.3772
3 Co 0.3772 0.3772 0.8684
4 Co 0.3772 0.8684 0.3772
5 Co 0.8684 0.3772 0.3772
6 Re 0.7500 0.7500 0.7500

Here is a relaxed CdInSbI crystal from the Alexandria database. Energies are from GGA-PBE.

Computed properties:
The calculation puts the calculated total energy at -2.391 eV per atom. The symmetry is No. 8. The theoretical density is 4.99 g/cm3.

Unit cell a=4.6796 b=4.6796 c=8.7791 alpha=105.30 beta=105.30 gamma=59.95
Sites, in units of the cell vectors:
1 Cd 0.0000 0.0000 0.0000
2 In 0.4871 0.4871 0.4561
3 Sb 0.1139 0.1139 0.3352
4 I 0.2759 0.2759 0.8251

Here is a relaxed AlCrPdAu crystal from the Alexandria database. Energies are from GGA-PBE.

Computed properties:
The calculation puts the calculated total energy at -5.741 eV per atom. The symmetry is No. 216. The theoretical density is 10.16 g/cm3.

Unit cell a=4.4536 b=4.4536 c=4.4536 alpha=60.00 beta=60.00 gamma=60.00
Sites, in units of the cell vectors:
1 Al 0.0000 0.0000 0.0000
2 Cr 0.5000 0.5000 0.5000
3 Pd 0.7500 0.7500 0.7500
4 Au 0.2500 0.2500 0.2500

Here is a relaxed TbNb2Se6 crystal from the Alexandria database. Energies are from GGA-PBE.

Computed properties:
The calculation puts the calculated total energy at -5.905 eV per atom. The symmetry is No. 12. The theoretical density is 5.38 g/cm3.

Unit cell a=6.8881 b=6.8881 c=9.1097 alpha=115.93 beta=115.93 gamma=41.38
Sites, in units of the cell vectors:
1 Tb 0.0000 0.0000 0.0000
2 Nb 0.1781 0.1781 0.6231
3 Nb 0.8219 0.8219 0.3769
4 Se 0.0152 0.0152 0.6961
5 Se 0.2984 0.2984 0.4428
6 Se 0.3500 0.3500 0.9068
7 Se 0.6500 0.6500 0.0932
8 Se 0.7016 0.7016 0.5572
9 Se 0.9848 0.9848 0.3039

Here is a relaxed Na2DyPtO4 crystal from the Alexandria database. Energies are from GGA-PBE.

Computed properties:
The calculation puts the calculated total energy at -5.897 eV per atom. The symmetry is No. 10. The theoretical density is 7.34 g/cm3.

Unit cell a=5.6952 b=3.2808 c=6.0977 alpha=90.00 beta=111.79 gamma=90.00
Sites, in units of the cell vectors:
1 Na 0.0000 0.0000 0.0000
2 Na 0.5000 0.5000 0.0000
3 Dy 0.0000 0.5000 0.5000
4 Pt 0.5000 0.0000 0.5000
5 O 0.2165 0.0000 0.7445
6 O 0.2910 0.5000 0.3066
7 O 0.7090 0.5000 0.6934
8 O 0.7835 0.0000 0.2555

Here is a relaxed BaLi9Zn3 crystal from the Alexandria database. Energies are from GGA-PBE.

Computed properties:
The calculation puts the calculated total energy at -1.843 eV per atom. The symmetry is No. 12. The theoretical density is 2.46 g/cm3.

Unit cell a=7.6936 b=7.6936 c=7.3935 alpha=97.26 beta=97.26 gamma=139.08
Sites, in units of the cell vectors:
1 Ba 0.0000 0.0000 0.0000
2 Li 0.0156 0.6505 0.6525
3 Li 0.2529 0.4978 0.7645
4 Li 0.3495 0.9844 0.3475
5 Li 0.4978 0.2529 0.7645
6 Li 0.5000 0.5000 0.5000
7 Li 0.5022 0.7471 0.2355
8 Li 0.6505 0.0156 0.6525
9 Li 0.7471 0.5022 0.2355
10 Li 0.9844 0.3495 0.3475
11 Zn 0.0000 0.0000 0.5000
12 Zn 0.0000 0.5000 0.0000
13 Zn 0.5000 0.0000 0.0000

Short version: calculated volume = 25.7, 15.2, 14.2, 39.6, 15.6, 28.1, 13.2, 20.6 Å³ per atom, in the order given.